Density functional theory data (PBE) for EuErZnGa after structural relaxation.

Lattice parameters (Å, degrees): 5.146 5.146 5.146 60.00 60.00 60.00
Site moments in Bohr magnetons follow the coordinates.
Sites, in units of the cell vectors:
Eu: 0.000 0.000 0.000  -6.81
Ga: 0.750 0.750 0.750  0.03
Er: 0.500 0.500 0.500  -0.11
Zn: 0.250 0.250 0.250  -0.02

Output
Total magnetization ... 7.22 μB per cell
E_tot ... -5.1784 eV per atom
Density of states at the Fermi level ... 3.6 states/eV per cell
Theoretical density ... 7.83 g cm⁻³
Formation enthalpy at 0 K ... -0.394 eV per atom

=====

Density functional theory data (PBE) for Tb8Pd2Ru after structural relaxation.

Lattice parameters (Å, degrees): 5.105 6.782 9.008 105.06 106.46 90.00
Sites, in units of the cell vectors:
Tb: 0.969 0.209 0.937
Tb: 0.590 0.439 0.179
Ru: 0.500 0.000 0.000
Tb: 0.336 0.029 0.672
Tb: 0.410 0.561 0.821
Tb: 0.201 0.316 0.401
Tb: 0.799 0.684 0.599
Pd: 0.189 0.719 0.378
Tb: 0.031 0.791 0.063
Tb: 0.664 0.971 0.328
Pd: 0.811 0.281 0.622

Output
Total magnetization ... 0.00 μB per cell
E_tot ... -5.5536 eV per atom
Density of states at the Fermi level ... 12.4 states/eV per cell
Theoretical density ... 9.14 g cm⁻³
Formation enthalpy at 0 K ... -0.399 eV per atom